The following is a PBE-GGA calculation of an optimized crystal structure of Zr2MnTc, from Alexandria via LeMat-Bulk.

Summary:
Calculated formation energy, meV/atom: -102
Raw total energy, eV per atom: -9.26

Lattice parameters (Å, degrees): 5.5020 5.5020 5.5020 145.92 131.81 60.34
Element x y z (fractional)
Zr: 0.7398 0.2398 0.5000
Zr: 0.0086 0.0086 0.0000
Mn: 0.4863 0.4863 0.0000
Tc: 0.2654 0.7654 0.5000

=====

The following is a PBE-GGA calculation of an optimized crystal structure of Zr2MnTc, from Alexandria via LeMat-Bulk.

Summary:
Calculated formation energy, meV/atom: -198
Raw total energy, eV per atom: -9.36

Lattice parameters (Å, degrees): 3.2978 3.2978 6.5156 90.00 90.00 90.00
Element x y z (fractional)
Zr: 0.0000 0.0000 0.9974
Zr: 0.0000 0.0000 0.5026
Mn: 0.5000 0.5000 0.2500
Tc: 0.5000 0.5000 0.7500

=====

The following is a PBE-GGA calculation of an optimized crystal structure of ZrMnTc, from Alexandria via LeMat-Bulk.

Summary:
Calculated formation energy, meV/atom: 335
Energy above the lowest structure with this stoichiometry, meV per atom: 599
Raw total energy, eV per atom: -9.03

Lattice parameters (Å, degrees): 4.2035 4.2035 4.2035 60.00 60.00 60.00
Element x y z (fractional)
Zr: 0.5000 0.5000 0.5000
Mn: 0.7500 0.7500 0.7500
Tc: 0.0000 0.0000 0.0000

=====

The following is a PBE-GGA calculation of an optimized crystal structure of ZrMnTc2, from Alexandria via LeMat-Bulk.

Summary:
Calculated formation energy, meV/atom: 381
Raw total energy, eV per atom: -9.23

Lattice parameters (Å, degrees): 7.1293 7.1293 5.6782 51.11 51.11 90.00
Element x y z (fractional)
Zr: 0.7500 0.2500 0.5000
Zr: 0.0000 0.0000 0.0000
Tc: 0.3750 0.4331 0.7500
Tc: 0.5669 0.1250 0.2500
Tc: 0.8750 0.8169 0.7500
Tc: 0.1831 0.6250 0.2500
Mn: 0.5000 0.5000 0.0000
Mn: 0.2500 0.7500 0.5000

=====

The following is a PBE-GGA calculation of an optimized crystal structure of Zr2MnTc, from Alexandria via LeMat-Bulk.

Summary:
Calculated formation energy, meV/atom: 379
Raw total energy, eV per atom: -8.78

Lattice parameters (Å, degrees): 7.2152 7.2152 5.8739 52.11 52.11 90.00
Element x y z (fractional)
Zr: 0.6317 0.1250 0.2500
Zr: 0.1183 0.6250 0.2500
Zr: 0.3750 0.3683 0.7500
Zr: 0.8750 0.8817 0.7500
Mn: 0.2500 0.7500 0.5000
Mn: 0.5000 0.5000 0.0000
Tc: 0.7500 0.2500 0.5000
Tc: 0.0000 0.0000 0.0000

=====

The following is a PBE-GGA calculation of an optimized crystal structure of Zr4MnTc3, from Alexandria via LeMat-Bulk.

Summary:
Calculated formation energy, meV/atom: -277
Raw total energy, eV per atom: -9.58

Lattice parameters (Å, degrees): 3.3049 3.3049 13.0987 90.00 90.00 90.00
Element x y z (fractional)
Mn: 0.5000 0.5000 0.0000
Zr: 0.0000 0.0000 0.6247
Zr: 0.0000 0.0000 0.1273
Zr: 0.0000 0.0000 0.3753
Zr: 0.0000 0.0000 0.8727
Tc: 0.5000 0.5000 0.7546
Tc: 0.5000 0.5000 0.2454
Tc: 0.5000 0.5000 0.5000